(1)
## CaOs2Au (GGA-PBE)

Data for a relaxed CaOs2Au crystal.

Summary:
Volume   71.4 Å³/cell
ΔE_f   503.8 meV/atom
ΔE to the lowest computed polymorph   314 meV per atom
Raw total energy   -6.43 eV per atom
Spin magnetization   0.0 μB per formula unit

```
data_CaOs2Au
_space_group_name_H-M_alt 'P 1 2/m 1'
_space_group_IT_number 10
_cell_length_a 2.931
_cell_length_b 5.044
_cell_length_c 4.837
_cell_angle_alpha 90.00
_cell_angle_beta 93.11
_cell_angle_gamma 90.00
loop_
_space_group_symop_operation_xyz
'x,y,z'
'-x,-y,-z'
'-x,y,-z'
'x,-y,z'
loop_
_atom_site_label
_atom_site_fract_x
_atom_site_fract_y
_atom_site_fract_z
Ca1 0.000 0.000 0.000
Os1 0.347 0.500 0.754
Au1 0.500 0.000 0.500
```



(2)
## CdAg2Au (GGA-PBE)

Data for a relaxed CdAg2Au crystal.

Summary:
Volume   149.8 Å³/cell
ΔE_f   -10.7 meV/atom
Raw total energy   -2.48 eV per atom
Spin magnetization   0.0 μB per formula unit

```
data_CdAg2Au
_space_group_name_H-M_alt 'C 1 m 1'
_space_group_IT_number 8
_cell_length_a 5.342
_cell_length_b 2.965
_cell_length_c 9.626
_cell_angle_alpha 90.00
_cell_angle_beta 100.75
_cell_angle_gamma 90.00
loop_
_space_group_symop_operation_xyz
'x,y,z'
'x,-y,z'
'x+1/2,y+1/2,z'
'x+1/2,-y+1/2,z'
loop_
_atom_site_label
_atom_site_fract_x
_atom_site_fract_y
_atom_site_fract_z
Cd1 0.000 0.000 0.000
Ag1 0.237 0.000 0.746
Ag2 0.417 0.000 0.254
Au1 0.328 0.500 0.500
```



(3)
## KAlTl2Pd (GGA-PBE)

Data for a relaxed KAlTl2Pd crystal.

Summary:
Volume   147.0 Å³/cell
ΔE_f   61.4 meV/atom
Raw total energy   -2.89 eV per atom
Spin magnetization   0.0 μB per formula unit

```
data_KAlTl2Pd
_space_group_name_H-M_alt 'P 4/m m m'
_space_group_IT_number 123
_space_group_name_Hall '-P 4 2'
_cell_length_a 5.474
_cell_length_b 5.474
_cell_length_c 4.904
_cell_angle_alpha 90.00
_cell_angle_beta 90.00
_cell_angle_gamma 90.00
loop_
_atom_site_label
_atom_site_fract_x
_atom_site_fract_y
_atom_site_fract_z
K1 0.000 0.000 0.000
Al1 0.500 0.500 0.500
Tl1 0.000 0.500 0.500
Pd1 0.500 0.500 0.000
```



(4)
## TmSc5Bi4 (GGA-PBE)

Data for a relaxed TmSc5Bi4 crystal.

Summary:
Volume   614.9 Å³/cell
ΔE_f   -252.1 meV/atom
Raw total energy   -5.42 eV per atom
Spin magnetization   0.3 μB per formula unit

```
data_TmSc5Bi4
_space_group_name_H-M_alt 'P m m n'
_space_group_IT_number 59
_cell_length_a 9.026
_cell_length_b 9.643
_cell_length_c 7.065
_cell_angle_alpha 90.00
_cell_angle_beta 90.00
_cell_angle_gamma 90.00
loop_
_space_group_symop_operation_xyz
'x,y,z'
'-x,-y,-z'
'-x+1/2,-y+1/2,z'
'x+1/2,y+1/2,-z'
'x+1/2,-y,-z'
'-x+1/2,y,z'
'-x,y+1/2,-z'
'x,-y+1/2,z'
loop_
_atom_site_label
_atom_site_fract_x
_atom_site_fract_y
_atom_site_fract_z
Tm1 0.250 0.250 0.117
Sc1 0.053 0.042 0.756
Sc2 0.250 0.750 0.751
Bi1 0.029 0.250 0.447
Bi2 0.250 0.561 0.077
```



(5)
## Hg2PdPb8 (GGA-PBE)

Data for a relaxed Hg2PdPb8 crystal.

Summary:
Volume   638.1 Å³/cell
ΔE_f   -1.6 meV/atom
ΔE to the lowest computed polymorph   0 meV per atom
Raw total energy   -3.23 eV per atom
Spin magnetization   0.0 μB per formula unit

```
data_Hg2PdPb8
_space_group_name_H-M_alt 'C 1 2/m 1'
_space_group_IT_number 12
_cell_length_a 18.689
_cell_length_b 5.108
_cell_length_c 7.040
_cell_angle_alpha 90.00
_cell_angle_beta 108.29
_cell_angle_gamma 90.00
loop_
_space_group_symop_operation_xyz
'x,y,z'
'-x,-y,-z'
'-x,y,-z'
'x,-y,z'
'x+1/2,y+1/2,z'
'-x+1/2,-y+1/2,-z'
'-x+1/2,y+1/2,-z'
'x+1/2,-y+1/2,z'
loop_
_atom_site_label
_atom_site_fract_x
_atom_site_fract_y
_atom_site_fract_z
Hg1 0.177 0.000 0.243
Pd1 0.000 0.500 0.500
Pb1 0.009 0.000 0.271
Pb2 0.102 0.500 0.933
Pb3 0.147 0.500 0.475
Pb4 0.210 0.000 0.814
```



(6)
## NiAuSeN2 (GGA-PBE)

Data for a relaxed NiAuSeN2 crystal.

Summary:
Volume   76.3 Å³/cell
ΔE to the lowest computed polymorph   0 meV per atom
Raw total energy   -4.61 eV per atom
Formation energy (no corrections)   1.231 eV/atom
Spin magnetization   1.6 μB per formula unit

```
data_NiAuSeN2
_space_group_name_H-M_alt 'P 4/m m m'
_space_group_IT_number 123
_space_group_name_Hall '-P 4 2'
_cell_length_a 3.657
_cell_length_b 3.657
_cell_length_c 5.703
_cell_angle_alpha 90.00
_cell_angle_beta 90.00
_cell_angle_gamma 90.00
loop_
_atom_site_label
_atom_site_fract_x
_atom_site_fract_y
_atom_site_fract_z
Ni1 0.000 0.000 0.000
Au1 0.500 0.500 0.500
Se1 0.000 0.000 0.500
N1 0.000 0.500 0.000
```